The following is a GGA-PBEsol calculation of crystalline LiGa2Ir at its relaxed geometry, from the Alexandria database.

Structure (extended XYZ):
```
4
Lattice="0.0000 3.0083 3.0083 3.0083 0.0000 3.0083 3.0083 3.0083 0.0000" Properties=species:S:1:pos:R:3 pbc="T T T"
Li 0.0000 0.0000 0.0000
Ga 1.5041 1.5041 1.5041
Ga 4.5124 4.5124 4.5124
Ir 3.0083 3.0083 3.0083
```

Summary:
For the total energy, the calculation gives -5.134 eV/atom. As for the density of states at the Fermi level: 1.38 states/eV/cell. The calculation puts the formation energy at -49.86 kJ/mol of atoms.